[1]
Entry from Alexandria via LeMat-Bulk: TaSbIr2 after structural relaxation (PBE).

Cell: 5.7723 7.8640 2.9964 Å, 90.00 90.00 90.00°
Space group Cmmm (No. 65)
Unique sites:
Ta: 0.0000 0.0000 0.0000 (multiplicity 2)
Sb: 0.0000 0.5000 0.0000 (multiplicity 2)
Ir: 0.2500 0.2500 0.5000 (multiplicity 4)

Values from the calculation:
density = 16.8 Mg/m³
energy = -68.03 eV for the cell shown



[2]
Entry from Alexandria via LeMat-Bulk: Tl2SiPt after structural relaxation (PBE).

Cell: 6.0278 6.0278 13.1892 Å, 90.00 90.00 90.00°
Space group I-42d (No. 122)
Unique sites:
Tl: 0.2399 0.2500 0.1250 (multiplicity 8)
Si: 0.0000 0.0000 0.0000 (multiplicity 4)
Pt: 0.0000 0.0000 0.5000 (multiplicity 4)

Values from the calculation:
density = 8.8 Mg/m³
energy = -55.55 eV for the cell shown



[3]
Entry from Alexandria via LeMat-Bulk: LaPa4Se8 after structural relaxation (PBE).

Cell: 11.7852 11.7852 11.7852 Å, 90.00 90.00 90.00°
Space group F-43m (No. 216)
Unique sites:
La: 0.0000 0.0000 0.0000 (multiplicity 4)
Pa: 0.1110 0.1110 0.6110 (multiplicity 16)
Se: 0.1297 0.1297 0.3703 (multiplicity 16)
Se: 0.1399 0.1399 0.8601 (multiplicity 16)

Values from the calculation:
density = 6.9 Mg/m³
energy = -350.39 eV for the cell shown